Entry 1:
The following is a DFT calculation (GGA-PBE) of a geometry-optimized Zr2PtBr structure.

Summary:
Total magnetization   0.00 μB/f.u.
Formation energy without anion corrections   -0.59 eV/atom

Unit cell a=3.2003 b=3.2003 c=7.6758 alpha=90.00 beta=90.00 gamma=90.00
Last column: nearest neighbours and their distance in Å.
Space group P4/mmm (No. 123)
Asymmetric unit:
Zr (0.0000, 0.0000, 0.2362) (multiplicity 2)  4 Pt 2.90, 4 Br 3.04, 4 Zr 3.20
Pt (0.5000, 0.5000, 0.0000) (multiplicity 1)  8 Zr 2.90, 4 Pt 3.20
Br (0.5000, 0.5000, 0.5000) (multiplicity 1)  8 Zr 3.04, 4 Br 3.20

---

Entry 2:
The following is a DFT calculation (GGA-PBE) of a geometry-optimized ZrPtBr2 structure.

Summary:
Total magnetization   0.00 μB/f.u.
Formation energy without anion corrections   -0.18 eV/atom

Unit cell a=3.3078 b=3.3078 c=27.5090 alpha=90.00 beta=90.00 gamma=120.00
Last column: nearest neighbours and their distance in Å.
Space group R-3m (No. 166, hexagonal axes)
Asymmetric unit:
Zr (0.0000, 0.0000, 0.0000) (multiplicity 3)  6 Br 2.74
Pt (0.0000, 0.0000, 0.5000) (multiplicity 3)  6 Br 3.24, 6 Pt 3.31
Br (0.0000, 0.0000, 0.2617) (multiplicity 6)  3 Zr 2.74

---

Entry 3:
The following is a DFT calculation (GGA-PBE) of a geometry-optimized ZrPt2Br structure.

Summary:
Total magnetization   0.00 μB/f.u.
Formation energy without anion corrections   -0.16 eV/atom

Unit cell a=3.1140 b=3.1140 c=27.8630 alpha=90.00 beta=90.00 gamma=120.00
Last column: nearest neighbours and their distance in Å.
Space group R3m (No. 160, hexagonal axes)
Asymmetric unit:
Zr (0.0000, 0.0000, 0.0000) (multiplicity 3)  3 Br 2.72, 3 Pt 2.83
Pt (0.0000, 0.0000, 0.4916) (multiplicity 3)  9 Pt 2.86-3.11
Pt (0.0000, 0.0000, 0.7452) (multiplicity 3)  3 Zr 2.83, 9 Pt 2.86-3.11
Br (0.0000, 0.0000, 0.2601) (multiplicity 3)  3 Zr 2.72

---

Entry 4:
The following is a DFT calculation (GGA-PBE) of a geometry-optimized ZrPt2Br structure.

Summary:
Total magnetization   0.00 μB/f.u.
Formation energy without anion corrections   -0.19 eV/atom

Unit cell a=3.3260 b=4.4683 c=4.9061 alpha=90.00 beta=90.00 gamma=90.00
Last column: nearest neighbours and their distance in Å.
Space group Pmmm (No. 47)
Asymmetric unit:
Zr (0.0000, 0.0000, 0.0000) (multiplicity 1)  4 Br 2.79, 4 Pt 2.96
Pt (0.0000, 0.5000, 0.5000) (multiplicity 1)  4 Pt 2.79, 4 Br 2.96
Pt (0.5000, 0.0000, 0.5000) (multiplicity 1)  4 Pt 2.79, 4 Zr 2.96
Br (0.5000, 0.5000, 0.0000) (multiplicity 1)  4 Zr 2.79, 4 Pt 2.96

---

Entry 5:
The following is a DFT calculation (GGA-PBE) of a geometry-optimized ZrPtBr2 structure.

Summary:
Total magnetization   0.00 μB/f.u.
Formation energy without anion corrections   -0.94 eV/atom

Unit cell a=3.7093 b=3.4918 c=8.5746 alpha=90.00 beta=102.23 gamma=90.00
Last column: nearest neighbours and their distance in Å.
Space group Pm (No. 6)
Asymmetric unit:
Zr (0.0000, 0.0000, 0.0000) (multiplicity 1)  3 Br 2.74, 4 Pt 2.79
Pt (0.5665, 0.5000, 0.1359) (multiplicity 1)  4 Zr 2.79, 4 Br 3.01
Br (0.1602, 0.0000, 0.3275) (multiplicity 1)  1 Zr 2.74, 4 Pt 3.01
Br (0.8770, 0.5000, 0.7482) (multiplicity 1)  2 Zr 2.74

---

Entry 6:
The following is a DFT calculation (GGA-PBE) of a geometry-optimized ZrPtBr2 structure.

Summary:
Total magnetization   0.00 μB/f.u.
Formation energy without anion corrections   -0.08 eV/atom

Unit cell a=6.1866 b=6.3391 c=4.6894 alpha=90.00 beta=90.00 gamma=90.00
Last column: nearest neighbours and their distance in Å.
Space group Cmmm (No. 65)
Asymmetric unit:
Zr (0.0000, 0.0000, 0.0000) (multiplicity 2)  4 Br 2.78, 2 Pt 3.09
Pt (0.0000, 0.5000, 0.0000) (multiplicity 2)  4 Br 2.88, 4 Zr 3.09-3.17
Br (0.0000, 0.2362, 0.5000) (multiplicity 4)  2 Zr 2.78, 2 Pt 2.88, 3 Br 2.99-3.10

---

Entry 7:
The following is a DFT calculation (GGA-PBE) of a geometry-optimized ZrPtBr2 structure.

Summary:
Total magnetization   0.00 μB/f.u.
Formation energy without anion corrections   -0.03 eV/atom

Unit cell a=6.8406 b=6.8406 c=6.8406 alpha=90.00 beta=90.00 gamma=90.00
Last column: nearest neighbours and their distance in Å.
Space group Fm-3m (No. 225)
Asymmetric unit:
Zr (0.0000, 0.0000, 0.0000) (multiplicity 4)  8 Br 2.96
Pt (0.0000, 0.0000, 0.5000) (multiplicity 4)  8 Br 2.96
Br (0.2500, 0.2500, 0.2500) (multiplicity 8)  4 Zr 2.96, 4 Pt 2.96

---

Entry 8:
The following is a DFT calculation (GGA-PBE) of a geometry-optimized ZrPtBr3 structure.

Summary:
Total magnetization   0.00 μB/f.u.
Formation energy without anion corrections   0.06 eV/atom

Unit cell a=5.2442 b=5.2442 c=5.2442 alpha=90.00 beta=90.00 gamma=90.00
Last column: nearest neighbours and their distance in Å.
Space group Pm-3m (No. 221)
Asymmetric unit:
Zr (0.0000, 0.0000, 0.0000) (multiplicity 1)  6 Br 2.62
Pt (0.5000, 0.5000, 0.5000) (multiplicity 1)  12 Br 3.71
Br (0.0000, 0.0000, 0.5000) (multiplicity 3)  2 Zr 2.62